Record 1
Density functional theory data (PBE) for crystalline AcLa2Cd at its relaxed geometry.

Output
N(E_F) in states/eV/atom: 1.25
ρ in g/cm³: 7.0
ΔE_f in eV per atom: -0.05
Polymorph energy (0 for the lowest one) in meV/atom: 117

abc: 3.8479 3.8479 34.4286
angles: 90.00 90.00 120.00
Space group R3m (No. 160, hexagonal axes)
Symmetry-distinct sites (fractional):
Ac  0.0000  0.0000  0.0000 [3 per cell]
La  0.0000  0.0000  0.2401 [3 per cell]
La  0.0000  0.0000  0.4255 [3 per cell]
Cd  0.0000  0.0000  0.8328 [3 per cell]

Record 2
Density functional theory data (PBE) for crystalline Ac8La2Cd at its relaxed geometry.

Output
N(E_F) in states/eV/atom: 1.43
ρ in g/cm³: 7.9
ΔE_f in eV per atom: 0.00
Polymorph energy (0 for the lowest one) in meV/atom: 0

abc: 21.1335 6.2075 7.0594
angles: 90.00 93.64 90.00
Space group C2/m (No. 12)
Symmetry-distinct sites (fractional):
Ac  0.0415  0.0000  0.2562 [4 per cell]
Ac  0.0814  0.5000  0.6049 [4 per cell]
Ac  0.1577  0.0000  0.8066 [4 per cell]
Ac  0.1591  0.5000  0.1240 [4 per cell]
La  0.2378  0.0000  0.3389 [4 per cell]
Cd  0.0000  0.5000  0.0000 [2 per cell]

Record 3
Density functional theory data (PBE) for crystalline AcLa2Cd at its relaxed geometry.

Output
N(E_F) in states/eV/atom: 1.26
ρ in g/cm³: 6.7
ΔE_f in eV per atom: 0.18
Polymorph energy (0 for the lowest one) in meV/atom: 343

abc: 3.7130 3.7130 38.5919
angles: 90.00 90.00 120.00
Space group R-3m (No. 166, hexagonal axes)
Symmetry-distinct sites (fractional):
Ac  0.0000  0.0000  0.0000 [3 per cell]
La  0.0000  0.0000  0.4124 [6 per cell]
Cd  0.0000  0.0000  0.5000 [3 per cell]

Record 4
Density functional theory data (PBE) for crystalline Ac3LaCd2 at its relaxed geometry.

Output
N(E_F) in states/eV/atom: 1.22
ρ in g/cm³: 7.9
ΔE_f in eV per atom: -0.19

abc: 4.0232 4.0232 13.5498
angles: 90.00 90.00 90.00
Space group P4/mmm (No. 123)
Symmetry-distinct sites (fractional):
Ac  0.0000  0.0000  0.0000 [1 per cell]
Ac  0.0000  0.0000  0.3049 [2 per cell]
La  0.5000  0.5000  0.5000 [1 per cell]
Cd  0.5000  0.5000  0.1546 [2 per cell]

Record 5
Density functional theory data (PBE) for crystalline Ac3La6Cd at its relaxed geometry.

Output
N(E_F) in states/eV/atom: 1.52
ρ in g/cm³: 7.2
ΔE_f in eV per atom: -0.04

abc: 11.0181 5.6055 12.3236
angles: 90.00 97.23 90.00
Space group P2_1/m (No. 11)
Symmetry-distinct sites (fractional):
Ac  0.0524  0.2500  0.4060 [2 per cell]
Ac  0.1550  0.7500  0.2163 [2 per cell]
Ac  0.2661  0.2500  0.0233 [2 per cell]
La  0.0531  0.7500  0.9034 [2 per cell]
La  0.1746  0.2500  0.7131 [2 per cell]
La  0.2837  0.7500  0.5179 [2 per cell]
La  0.3591  0.7500  0.8416 [2 per cell]
La  0.3742  0.2500  0.3216 [2 per cell]
La  0.4686  0.7500  0.1446 [2 per cell]
Cd  0.4428  0.2500  0.5952 [2 per cell]

Record 6
Density functional theory data (PBE) for crystalline AcLa3Cd2 at its relaxed geometry.

Output
N(E_F) in states/eV/atom: 1.34
ρ in g/cm³: 7.1
ΔE_f in eV per atom: -0.22

abc: 3.9165 3.9165 13.1973
angles: 90.00 90.00 90.00
Space group P4/mmm (No. 123)
Symmetry-distinct sites (fractional):
Ac  0.0000  0.0000  0.0000 [1 per cell]
La  0.5000  0.5000  0.2005 [2 per cell]
La  0.5000  0.5000  0.5000 [1 per cell]
Cd  0.0000  0.0000  0.3494 [2 per cell]

Record 7
Density functional theory data (PBE) for crystalline Ac4La2Cd at its relaxed geometry.

Output
N(E_F) in states/eV/atom: 1.35
ρ in g/cm³: 7.6
ΔE_f in eV per atom: 0.04

abc: 17.8401 3.8491 9.2241
angles: 90.00 116.77 90.00
Space group C2/m (No. 12)
Symmetry-distinct sites (fractional):
Ac  0.0830  0.0000  0.2096 [4 per cell]
Ac  0.1312  0.5000  0.8832 [4 per cell]
La  0.2166  0.0000  0.6375 [4 per cell]
Cd  0.0000  0.0000  0.5000 [2 per cell]

Record 8
Density functional theory data (PBE) for crystalline AcLa15Cd4 at its relaxed geometry.

Output
N(E_F) in states/eV/atom: 1.59
ρ in g/cm³: 6.8
ΔE_f in eV per atom: -0.10

abc: 5.1206 5.1206 25.6867
angles: 90.00 90.00 90.00
Space group P4/mmm (No. 123)
Symmetry-distinct sites (fractional):
Ac  0.0000  0.0000  0.0000 [1 per cell]
La  0.0000  0.5000  0.1070 [4 per cell]
La  0.0000  0.5000  0.3043 [4 per cell]
La  0.0000  0.5000  0.5000 [2 per cell]
La  0.5000  0.5000  0.0000 [1 per cell]
La  0.5000  0.5000  0.2054 [2 per cell]
La  0.5000  0.5000  0.4025 [2 per cell]
Cd  0.0000  0.0000  0.2071 [2 per cell]
Cd  0.0000  0.0000  0.4025 [2 per cell]

Record 9
Density functional theory data (PBE) for crystalline Ac3LaCd at its relaxed geometry.

Output
N(E_F) in states/eV/atom: 1.41
ρ in g/cm³: 7.8
ΔE_f in eV per atom: -0.01
Polymorph energy (0 for the lowest one) in meV/atom: 0

abc: 10.4080 7.4527 12.6260
angles: 90.00 125.86 90.00
Space group P2_1/c (No. 14)
Symmetry-distinct sites (fractional):
Ac  0.0429  0.1068  0.3090 [4 per cell]
Ac  0.3502  0.1611  0.7366 [4 per cell]
Ac  0.3715  0.6729  0.8792 [4 per cell]
La  0.0951  0.7288  0.5174 [4 per cell]
Cd  0.3071  0.0603  0.9967 [4 per cell]

Record 10
Density functional theory data (PBE) for crystalline AcLa5Cd6 at its relaxed geometry.

Output
N(E_F) in states/eV/atom: 1.33
ρ in g/cm³: 7.1
ΔE_f in eV per atom: -0.32

abc: 5.5886 7.9348 8.8433
angles: 90.00 108.27 90.00
Space group P2/m (No. 10)
Symmetry-distinct sites (fractional):
Ac  0.0000  0.0000  0.0000 [1 per cell]
La  0.0000  0.5000  0.0000 [1 per cell]
La  0.3335  0.0000  0.6671 [2 per cell]
La  0.3336  0.5000  0.6674 [2 per cell]
Cd  0.1698  0.2531  0.3394 [4 per cell]
Cd  0.5000  0.2579  0.0000 [2 per cell]

Record 11
Density functional theory data (PBE) for crystalline Ac6La2Cd at its relaxed geometry.

Output
N(E_F) in states/eV/atom: 1.56
ρ in g/cm³: 7.9
ΔE_f in eV per atom: -0.04

abc: 10.3619 10.3619 3.9788
angles: 90.00 90.00 120.00
Space group P-62m (No. 189)
Symmetry-distinct sites (fractional):
Ac  0.0000  0.3773  0.0000 [3 per cell]
Ac  0.0000  0.7260  0.5000 [3 per cell]
La  0.3333  0.6667  0.5000 [2 per cell]
Cd  0.0000  0.0000  0.0000 [1 per cell]

Record 12
Density functional theory data (PBE) for crystalline Ac4LaCd3 at its relaxed geometry.

Output
N(E_F) in states/eV/atom: 1.30
ρ in g/cm³: 8.1
ΔE_f in eV per atom: -0.15

abc: 5.7916 5.7916 29.3393
angles: 90.00 90.00 120.00
Space group R-3m (No. 166, hexagonal axes)
Symmetry-distinct sites (fractional):
Ac  0.0000  0.0000  0.1167 [6 per cell]
Ac  0.0000  0.0000  0.3705 [6 per cell]
La  0.0000  0.0000  0.5000 [3 per cell]
Cd  0.0000  0.0000  0.0000 [3 per cell]
Cd  0.0000  0.0000  0.2418 [6 per cell]

Record 13
Density functional theory data (PBE) for crystalline Ac2LaCd2 at its relaxed geometry.

Output
N(E_F) in states/eV/atom: 1.24
ρ in g/cm³: 7.4
ΔE_f in eV per atom: -0.11
Polymorph energy (0 for the lowest one) in meV/atom: 62

abc: 6.7997 3.9167 13.7772
angles: 90.00 93.53 90.00
Space group P2_1/m (No. 11)
Symmetry-distinct sites (fractional):
Ac  0.0707  0.2500  0.3490 [2 per cell]
Ac  0.2604  0.2500  0.0724 [2 per cell]
La  0.4457  0.2500  0.7110 [2 per cell]
Cd  0.2275  0.7500  0.8671 [2 per cell]
Cd  0.3373  0.7500  0.5132 [2 per cell]

Record 14
Density functional theory data (PBE) for crystalline Ac2La5Cd at its relaxed geometry.

Output
N(E_F) in states/eV/atom: 1.36
ρ in g/cm³: 7.2
ΔE_f in eV per atom: -0.05

abc: 7.4073 7.4073 10.5863
angles: 90.00 90.00 90.00
Space group I4/mmm (No. 139)
Symmetry-distinct sites (fractional):
Ac  0.0000  0.5000  0.0000 [4 per cell]
La  0.0000  0.0000  0.0000 [2 per cell]
La  0.2500  0.2500  0.2500 [8 per cell]
Cd  0.0000  0.0000  0.5000 [2 per cell]

Record 15
Density functional theory data (PBE) for crystalline Ac6La3Cd at its relaxed geometry.

Output
N(E_F) in states/eV/atom: 1.49
ρ in g/cm³: 7.7
ΔE_f in eV per atom: -0.02

abc: 10.4171 6.1753 13.5956
angles: 90.00 111.31 90.00
Space group P2_1/m (No. 11)
Symmetry-distinct sites (fractional):
Ac  0.0332  0.2500  0.4274 [2 per cell]
Ac  0.1793  0.7500  0.1616 [2 per cell]
Ac  0.2613  0.2500  0.0043 [2 per cell]
Ac  0.3475  0.2500  0.3279 [2 per cell]
Ac  0.3547  0.7500  0.8081 [2 per cell]
Ac  0.4236  0.2500  0.6373 [2 per cell]
La  0.0284  0.7500  0.8629 [2 per cell]
La  0.1013  0.2500  0.7186 [2 per cell]
La  0.2676  0.7500  0.4730 [2 per cell]
Cd  0.4635  0.7500  0.0855 [2 per cell]

Record 16
Density functional theory data (PBE) for crystalline Ac14LaCd at its relaxed geometry.

Output
N(E_F) in states/eV/atom: 1.30
ρ in g/cm³: 8.3
ΔE_f in eV per atom: -0.01

abc: 11.1636 11.0843 11.0921
angles: 90.00 90.00 90.00
Space group Amm2 (No. 38)
Symmetry-distinct sites (fractional):
Ac  0.0000  0.0000  0.0000 [2 per cell]
Ac  0.0000  0.0000  0.4963 [2 per cell]
Ac  0.0000  0.2457  0.2485 [4 per cell]
Ac  0.2491  0.0000  0.7494 [4 per cell]
Ac  0.2571  0.2485  0.9989 [8 per cell]
Ac  0.2647  0.0000  0.2462 [4 per cell]
Ac  0.5000  0.2404  0.7517 [4 per cell]
La  0.5000  0.0000  0.5001 [2 per cell]
Cd  0.5000  0.0000  0.9977 [2 per cell]

Record 17
Density functional theory data (PBE) for crystalline Ac6LaCd at its relaxed geometry.

Output
N(E_F) in states/eV/atom: 1.35
ρ in g/cm³: 8.2
ΔE_f in eV per atom: -0.01

abc: 5.4501 5.4501 21.8704
angles: 90.00 90.00 90.00
Space group I4/mmm (No. 139)
Symmetry-distinct sites (fractional):
Ac  0.0000  0.0000  0.2502 [4 per cell]
Ac  0.0000  0.5000  0.1187 [8 per cell]
La  0.0000  0.0000  0.0000 [2 per cell]
Cd  0.0000  0.0000  0.5000 [2 per cell]

Record 18
Density functional theory data (PBE) for crystalline AcLa2Cd3 at its relaxed geometry.

Output
N(E_F) in states/eV/atom: 1.49
ρ in g/cm³: 7.4
ΔE_f in eV per atom: -0.31

abc: 3.9893 3.9893 11.9339
angles: 90.00 90.00 90.00
Space group P4/mmm (No. 123)
Symmetry-distinct sites (fractional):
Ac  0.0000  0.0000  0.0000 [1 per cell]
La  0.0000  0.0000  0.3384 [2 per cell]
Cd  0.5000  0.5000  0.1786 [2 per cell]
Cd  0.5000  0.5000  0.5000 [1 per cell]

Record 19
Density functional theory data (PBE) for crystalline Ac6LaCd5 at its relaxed geometry.

Output
N(E_F) in states/eV/atom: 1.27
ρ in g/cm³: 8.2
ΔE_f in eV per atom: -0.20

abc: 5.7574 17.5905 8.2670
angles: 90.00 90.00 90.00
Space group Cmmm (No. 65)
Symmetry-distinct sites (fractional):
Ac  0.0000  0.0000  0.2292 [4 per cell]
Ac  0.0000  0.3267  0.2479 [8 per cell]
La  0.0000  0.5000  0.5000 [2 per cell]
Cd  0.0000  0.1543  0.5000 [4 per cell]
Cd  0.0000  0.1674  0.0000 [4 per cell]
Cd  0.0000  0.5000  0.0000 [2 per cell]

Record 20
Density functional theory data (PBE) for crystalline AcLa2Cd at its relaxed geometry.

Output
N(E_F) in states/eV/atom: 1.31
ρ in g/cm³: 7.3
ΔE_f in eV per atom: -0.01
Polymorph energy (0 for the lowest one) in meV/atom: 152

abc: 8.2327 8.2327 8.2327
angles: 90.00 90.00 90.00
Space group Fm-3m (No. 225)
Symmetry-distinct sites (fractional):
Ac  0.0000  0.0000  0.0000 [4 per cell]
La  0.2500  0.2500  0.2500 [8 per cell]
Cd  0.0000  0.0000  0.5000 [4 per cell]